Entry from Alexandria via LeMat-Bulk: an optimized crystal structure of SiMoN2F (PBE+U).

Unit cell a=4.0348 b=4.0348 c=4.0852 alpha=90.00 beta=90.00 gamma=90.00
With the nearest neighbours (Å) after each atom.
Fractional positions:
Si: 0.0000 0.0000 0.0000  4 F 2.85, 8 N 2.87
Mo: 0.5000 0.5000 0.5000  4 N 2.02, 2 F 2.04
N: 0.0000 0.5000 0.5000  2 Mo 2.02
N: 0.5000 0.0000 0.5000  2 Mo 2.02
F: 0.5000 0.5000 0.0000  2 Mo 2.04

Offset from the most stable computed form, meV/atom: 585
Crystal system: tetragonal
Space-group type: P4/mmm